The following is a DFT calculation (PBE) of a relaxed structure of RbCo3Ni.

Computed properties:
- E: -2.840 eV/atom
- ΔE_f: 2773 meV/atom
- Energy relative to the lowest polymorph listed for this composition: 7.85 eV/f.u.
- DOS at the Fermi energy: 10.3 states/eV/f.u.

Lattice parameters (Å, degrees): 4.535 4.535 4.535 90.00 90.00 90.00
Element x y z (fractional)
Rb1 0.000 0.000 0.000
Co1 0.000 0.000 0.500
Co2 0.000 0.500 0.000
Co3 0.500 0.000 0.000
Ni1 0.500 0.500 0.500



The following is a DFT calculation (PBE) of a relaxed structure of Na4Pu3TlSe8.

Computed properties:
- E: -6.108 eV/atom
- Formation energy (no corrections): -1201 meV per atom
- DOS at the Fermi energy: 31.2 states/eV/f.u.

Lattice parameters (Å, degrees): 8.465 8.465 8.465 60.39 60.39 60.39
Element x y z (fractional)
Na1 0.000 0.000 0.000
Na2 0.000 0.500 0.500
Na3 0.500 0.000 0.500
Na4 0.500 0.500 0.000
Pu1 0.000 0.000 0.500
Pu2 0.000 0.500 0.000
Pu3 0.500 0.000 0.000
Tl1 0.500 0.500 0.500
Se1 0.225 0.752 0.752
Se2 0.243 0.243 0.243
Se3 0.248 0.248 0.775
Se4 0.248 0.775 0.248
Se5 0.752 0.225 0.752
Se6 0.752 0.752 0.225
Se7 0.757 0.757 0.757
Se8 0.775 0.248 0.248